[1]
# Pu2Ga6OsRh | Alexandria | PBE | relaxed
# - DOS at the Fermi energy: 20.59 states/eV per cell
# - VASP energy: -6.723 eV per atom
# - Formation energy from the elements: -0.1820 eV/atom
data_Pu2Ga6OsRh
_symmetry_space_group_name_H-M 'P 1'
_symmetry_Int_Tables_number 1
_cell_length_a 6.719
_cell_length_b 6.713
_cell_length_c 6.718
_cell_angle_alpha 59.98
_cell_angle_beta 60.00
_cell_angle_gamma 90.00
loop_
_symmetry_equiv_pos_as_xyz
'x,y,z'
loop_
_atom_site_label
_atom_site_fract_x
_atom_site_fract_y
_atom_site_fract_z
Pu1 0.250 0.750 0.500
Pu2 0.750 0.250 0.500
Ga1 0.249 0.751 0.000
Ga2 0.751 0.751 0.000
Ga3 0.249 0.249 0.503
Ga4 0.751 0.249 0.000
Ga5 0.249 0.249 0.000
Ga6 0.751 0.751 0.497
Os1 0.500 0.500 0.000
Rh1 0.000 0.000 0.000

---

[2]
# Cs2H2I3 | Alexandria | PBE | relaxed
# - DOS at the Fermi energy: 1.47 states/eV per cell
# - VASP energy: -2.710 eV per atom
# - Energy above the lowest structure with this stoichiometry: 0.0 meV/atom
data_Cs2H2I3
_symmetry_space_group_name_H-M 'P 1'
_symmetry_Int_Tables_number 1
_cell_length_a 6.087
_cell_length_b 5.076
_cell_length_c 14.801
_cell_angle_alpha 133.44
_cell_angle_beta 114.26
_cell_angle_gamma 89.69
loop_
_symmetry_equiv_pos_as_xyz
'x,y,z'
loop_
_atom_site_label
_atom_site_fract_x
_atom_site_fract_y
_atom_site_fract_z
Cs1 0.092 0.090 0.295
Cs2 0.908 0.910 0.705
H1 0.508 0.416 0.993
H2 0.492 0.584 0.007
I1 0.000 0.000 0.000
I2 0.350 0.318 0.658
I3 0.650 0.682 0.342

---

[3]
# TaTl2S2F4 | Alexandria | PBE | relaxed
# - DOS at the Fermi energy: 2.15 states/eV per cell
# - VASP energy: -5.468 eV per atom
# - Formation energy without anion corrections: -1.876 eV per atom
data_TaTl2S2F4
_symmetry_space_group_name_H-M 'P 1'
_symmetry_Int_Tables_number 1
_cell_length_a 5.289
_cell_length_b 6.879
_cell_length_c 6.879
_cell_angle_alpha 50.28
_cell_angle_beta 87.58
_cell_angle_gamma 87.58
loop_
_symmetry_equiv_pos_as_xyz
'x,y,z'
loop_
_atom_site_label
_atom_site_fract_x
_atom_site_fract_y
_atom_site_fract_z
Ta1 0.500 0.000 0.000
Tl1 0.252 0.691 0.691
Tl2 0.748 0.309 0.309
S1 0.271 0.178 0.178
S2 0.729 0.822 0.822
F1 0.281 0.712 0.185
F2 0.719 0.815 0.288
F3 0.719 0.288 0.815
F4 0.281 0.185 0.712

---

[4]
# Pa4GeAs3 | Alexandria | PBE | relaxed
# - DOS at the Fermi energy: 8.22 states/eV per cell
# - VASP energy: -7.987 eV per atom
# - Formation energy from the elements: -0.9181 eV/atom
data_Pa4GeAs3
_symmetry_space_group_name_H-M 'P 1'
_symmetry_Int_Tables_number 1
_cell_length_a 5.804
_cell_length_b 5.804
_cell_length_c 5.804
_cell_angle_alpha 90.00
_cell_angle_beta 90.00
_cell_angle_gamma 90.00
loop_
_symmetry_equiv_pos_as_xyz
'x,y,z'
loop_
_atom_site_label
_atom_site_fract_x
_atom_site_fract_y
_atom_site_fract_z
Ge1 0.000 0.000 0.000
Pa1 0.500 0.000 0.000
Pa2 0.000 0.500 0.000
Pa3 0.000 0.000 0.500
Pa4 0.500 0.500 0.500
As1 0.000 0.500 0.500
As2 0.500 0.000 0.500
As3 0.500 0.500 0.000

---

[5]
# KCdW2 | Alexandria | PBE | relaxed
# - DOS at the Fermi energy: 2.77 states/eV per cell
# - VASP energy: -6.211 eV per atom
# - Formation energy from the elements: 0.7687 eV/atom
data_KCdW2
_symmetry_space_group_name_H-M 'P 1'
_symmetry_Int_Tables_number 1
_cell_length_a 3.254
_cell_length_b 2.861
_cell_length_c 10.092
_cell_angle_alpha 79.67
_cell_angle_beta 90.00
_cell_angle_gamma 90.00
loop_
_symmetry_equiv_pos_as_xyz
'x,y,z'
loop_
_atom_site_label
_atom_site_fract_x
_atom_site_fract_y
_atom_site_fract_z
Cd1 0.000 0.544 0.452
K1 0.500 0.846 0.753
W1 0.000 0.948 0.064
W2 0.500 0.163 0.230

---

[6]
# CdAg2Cl | Alexandria | PBE | relaxed
# - DOS at the Fermi energy: 1.75 states/eV per cell
# - VASP energy: -2.091 eV per atom
# - Formation energy without anion corrections: 0.025 eV per atom
# - Energy above the lowest structure with this stoichiometry: 187.9 meV/atom
data_CdAg2Cl
_symmetry_space_group_name_H-M 'P 1'
_symmetry_Int_Tables_number 1
_cell_length_a 5.878
_cell_length_b 5.878
_cell_length_c 5.878
_cell_angle_alpha 139.70
_cell_angle_beta 139.70
_cell_angle_gamma 58.31
loop_
_symmetry_equiv_pos_as_xyz
'x,y,z'
loop_
_atom_site_label
_atom_site_fract_x
_atom_site_fract_y
_atom_site_fract_z
Cl1 0.750 0.250 0.500
Ag1 0.000 0.000 0.000
Ag2 0.500 0.500 0.000
Cd1 0.250 0.750 0.500

---

[7]
# TcSeF2 | Alexandria | PBE | relaxed
# - DOS at the Fermi energy: 1.12 states/eV per cell
# - VASP energy: -4.594 eV per atom
# - Formation energy without anion corrections: -0.195 eV per atom
# - Energy above the lowest structure with this stoichiometry: 561.4 meV/atom
data_TcSeF2
_symmetry_space_group_name_H-M 'P 1'
_symmetry_Int_Tables_number 1
_cell_length_a 4.290
_cell_length_b 4.290
_cell_length_c 4.290
_cell_angle_alpha 60.00
_cell_angle_beta 60.00
_cell_angle_gamma 60.00
loop_
_symmetry_equiv_pos_as_xyz
'x,y,z'
loop_
_atom_site_label
_atom_site_fract_x
_atom_site_fract_y
_atom_site_fract_z
Tc1 0.500 0.500 0.500
Se1 0.000 0.000 0.000
F1 0.250 0.250 0.250
F2 0.750 0.750 0.750

---

[8]
# CsNbGe2O8 | Alexandria | PBE | relaxed
# - DOS at the Fermi energy: 8.90 states/eV per cell
# - VASP energy: -6.584 eV per atom
# - Formation energy without anion corrections: -1.599 eV per atom
data_CsNbGe2O8
_symmetry_space_group_name_H-M 'P 1'
_symmetry_Int_Tables_number 1
_cell_length_a 5.662
_cell_length_b 5.662
_cell_length_c 8.348
_cell_angle_alpha 90.00
_cell_angle_beta 90.00
_cell_angle_gamma 120.00
loop_
_symmetry_equiv_pos_as_xyz
'x,y,z'
loop_
_atom_site_label
_atom_site_fract_x
_atom_site_fract_y
_atom_site_fract_z
Cs1 0.000 0.000 0.000
Nb1 0.000 0.000 0.500
Ge1 0.667 0.333 0.294
Ge2 0.333 0.667 0.706
O1 0.333 0.667 0.918
O2 0.328 0.186 0.360
O3 0.814 0.141 0.360
O4 0.667 0.333 0.082
O5 0.186 0.859 0.640
O6 0.672 0.814 0.640
O7 0.141 0.328 0.640
O8 0.859 0.672 0.360